No. 1
LaCdCo2Sb | GGA-PBE | optimized geometry

Output
**Theoretical density**: 6.39 g cm⁻³
**Crystal system**: tetragonal
**D(E_F)**: 6.3 states/eV/cell
**Uncorrected formation energy**: 1.18 eV per atom
**Total magnetization**: 1.4 μB/cell
**DFT total energy**: -18.29 eV for the cell shown
**Symmetry**: P4/mmm (123)

a b c (Å): 4.614 4.614 5.996
angles (deg): 90.00 90.00 90.00
Atoms (fractional coordinates):
1 La 0.000 0.000 0.000
2 Cd 0.000 0.000 0.500
3 Co 0.000 0.500 0.000
4 Co 0.500 0.000 0.000
5 Sb 0.500 0.500 0.500

=====

No. 2
Mg2CoSi2 | GGA-PBE | optimized geometry

Output
**Theoretical density**: 3.51 g cm⁻³
**Crystal system**: tetragonal
**D(E_F)**: 2.8 states/eV/cell
**Uncorrected formation energy**: -0.23 eV per atom
**Total magnetization**: 0.0 μB/cell
**DFT total energy**: -44.54 eV for the cell shown
**Symmetry**: P4/mbm (127)

a b c (Å): 6.070 6.070 4.209
angles (deg): 90.00 90.00 90.00
Atoms (fractional coordinates):
1 Mg 0.176 0.324 0.000
2 Mg 0.324 0.824 0.000
3 Mg 0.676 0.176 0.000
4 Mg 0.824 0.676 0.000
5 Co 0.000 0.000 0.500
6 Co 0.500 0.500 0.500
7 Si 0.140 0.640 0.500
8 Si 0.360 0.140 0.500
9 Si 0.640 0.860 0.500
10 Si 0.860 0.360 0.500

=====

No. 3
Pm3TmHg12 | GGA-PBE | optimized geometry

Output
**Theoretical density**: 12.36 g cm⁻³
**Crystal system**: tetragonal
**D(E_F)**: 12.7 states/eV/cell
**Total magnetization**: 0.0 μB/cell
**DFT total energy**: -27.61 eV for the cell shown
**Symmetry**: P4/mmm (123)

a b c (Å): 4.592 4.592 19.182
angles (deg): 90.00 90.00 90.00
Atoms (fractional coordinates):
1 Pm 0.000 0.000 0.000
2 Pm 0.000 0.000 0.254
3 Pm 0.000 0.000 0.746
4 Tm 0.000 0.000 0.500
5 Hg 0.000 0.500 0.126
6 Hg 0.000 0.500 0.379
7 Hg 0.000 0.500 0.621
8 Hg 0.000 0.500 0.874
9 Hg 0.500 0.000 0.126
10 Hg 0.500 0.000 0.379
11 Hg 0.500 0.000 0.621
12 Hg 0.500 0.000 0.874
13 Hg 0.500 0.500 0.000
14 Hg 0.500 0.500 0.252
15 Hg 0.500 0.500 0.500
16 Hg 0.500 0.500 0.748

=====

No. 4
Ac2ErTl | GGA-PBE | optimized geometry

Output
**Theoretical density**: 8.54 g cm⁻³
**Crystal system**: trigonal
**D(E_F)**: 4.6 states/eV/cell
**Energy above the most stable polymorph in this dataset**: 0.2252 eV/atom
**Total magnetization**: 0.0 μB/cell
**DFT total energy**: -14.62 eV for the cell shown
**Symmetry**: R-3m (166)

a b c (Å): 13.046 13.046 13.046
angles (deg): 16.73 16.73 16.73
Atoms (fractional coordinates):
1 Ac 0.090 0.090 0.090
2 Ac 0.910 0.910 0.910
3 Er 0.500 0.500 0.500
4 Tl 0.000 0.000 0.000

=====

No. 5
La3SnO | GGA-PBE | optimized geometry

Output
**Theoretical density**: 4.46 g cm⁻³
**Crystal system**: orthorhombic
**D(E_F)**: 7.7 states/eV/cell
**Uncorrected formation energy**: -1.01 eV per atom
**Total magnetization**: 1.2 μB/cell
**DFT total energy**: -57.64 eV for the cell shown
**Symmetry**: Cmcm (63)

a b c (Å): 9.798 9.798 5.968
angles (deg): 90.00 90.00 134.24
Atoms (fractional coordinates):
1 La 0.000 0.000 0.000
2 La 0.000 0.000 0.500
3 La 0.082 0.420 0.750
4 La 0.420 0.082 0.250
5 La 0.580 0.918 0.750
6 La 0.918 0.580 0.250
7 Sn 0.171 0.829 0.750
8 Sn 0.829 0.171 0.250
9 O 0.381 0.619 0.750
10 O 0.619 0.381 0.250

=====

No. 6
InAu2I | GGA-PBE | optimized geometry

Output
**Theoretical density**: 8.95 g cm⁻³
**Crystal system**: tetragonal
**D(E_F)**: 1.1 states/eV/cell
**Energy above the most stable polymorph in this dataset**: 0.0000 eV/atom
**Uncorrected formation energy**: 0.06 eV per atom
**Total magnetization**: 0.0 μB/cell
**DFT total energy**: -21.18 eV for the cell shown
**Symmetry**: I-42d (122)

a b c (Å): 6.792 6.792 6.792
angles (deg): 114.68 114.68 99.48
Atoms (fractional coordinates):
1 In 0.000 0.000 0.000
2 In 0.750 0.250 0.500
3 Au 0.102 0.625 0.977
4 Au 0.375 0.352 0.477
5 Au 0.648 0.125 0.023
6 Au 0.875 0.898 0.523
7 I 0.250 0.750 0.500
8 I 0.500 0.500 0.000

=====

No. 7
Ta2RePt | GGA-PBE | optimized geometry

Output
**Theoretical density**: 18.48 g cm⁻³
**Crystal system**: tetragonal
**D(E_F)**: 3.6 states/eV/cell
**Total magnetization**: 0.0 μB/cell
**DFT total energy**: -43.72 eV for the cell shown
**Symmetry**: P4/mmm (123)

a b c (Å): 3.313 3.313 6.084
angles (deg): 90.00 90.00 90.00
Atoms (fractional coordinates):
1 Ta 0.000 0.000 0.245
2 Ta 0.000 0.000 0.755
3 Re 0.500 0.500 0.000
4 Pt 0.500 0.500 0.500

=====

No. 8
LiRhW2 | GGA-PBE | optimized geometry

Output
**Theoretical density**: 13.57 g cm⁻³
**Crystal system**: tetragonal
**D(E_F)**: 3.2 states/eV/cell
**Energy above the most stable polymorph in this dataset**: 0.1487 eV/atom
**Total magnetization**: 0.0 μB/cell
**DFT total energy**: -34.08 eV for the cell shown
**Symmetry**: P4/mmm (123)

a b c (Å): 3.776 3.776 4.099
angles (deg): 90.00 90.00 90.00
Atoms (fractional coordinates):
1 Li 0.000 0.000 0.000
2 Rh 0.500 0.500 0.000
3 W 0.000 0.500 0.500
4 W 0.500 0.000 0.500

=====

Q: Among the records above, which one has the highest D(E_F)?
A: Pm3TmHg12

=====

Q: Which formula does entry 2 have?
A: Mg2CoSi2